No. 1
Below is a geometry-optimized ZnP2WO7 structure, with properties calculated at the PBE with a Hubbard U level.

Structure (POSCAR):
```
ZnP2WO7
1.0
5.500 0.011 -0.048
-2.471 5.952 0.068
-0.250 -0.571 8.288
Zn P W O
2 4 2 14
direct
0.656 0.684 0.379
0.344 0.316 0.621
0.833 0.653 0.856
0.167 0.347 0.144
0.798 0.230 0.409
0.202 0.770 0.591
0.631 0.086 0.890
0.369 0.914 0.110
0.979 0.709 0.021
0.021 0.291 0.979
0.753 0.838 0.796
0.247 0.162 0.204
0.599 0.417 0.841
0.401 0.583 0.159
0.377 0.640 0.547
0.623 0.360 0.453
0.965 0.206 0.551
0.035 0.794 0.449
0.971 0.380 0.274
0.363 0.006 0.677
0.637 0.994 0.323
0.029 0.620 0.726
```

Calculated total energy   -6.662 eV/atom
Space-group type   P-1
Theoretical density   5174 kg/m³
Crystal system   triclinic

=====

No. 2
Below is a geometry-optimized Na2TbMnO4 structure, with properties calculated at the PBE with a Hubbard U level.

Structure (POSCAR):
```
Na2TbMnO4
1.0
-2.036 -3.532 5.022
5.251 1.637 3.405
-4.032 4.898 -2.510
Na Tb Mn O
4 2 2 8
direct
0.500 0.000 0.000
0.500 0.000 0.500
0.000 0.000 0.500
0.500 0.500 0.000
0.000 0.500 0.000
0.000 0.500 0.500
0.500 0.500 0.500
0.000 0.000 0.000
0.202 0.756 0.968
0.744 0.298 0.532
0.256 0.702 0.468
0.798 0.244 0.032
0.797 0.790 0.018
0.710 0.703 0.482
0.290 0.297 0.518
0.203 0.210 0.982
```

Calculated total energy   -6.489 eV/atom
Space-group type   C2/c
Theoretical density   5207 kg/m³
Crystal system   monoclinic

=====

Q: Which formula does entry 2 have?
A: Na2TbMnO4